# 1
15
Lattice="-6.501 3.360 -0.655 -3.432 -6.357 -1.334 -1.500 -0.972 7.127" Properties=species:S:1:pos:R:3 comment="Cd8Hg6Sb (PBE, optimized geometry)" raw_formation_energy_ev_per_fu=0.9 pbc="T T T"
Cd -3.816 -3.051 3.116
Cd -2.556 -0.887 1.149
Sb 0.000 0.000 0.000
Cd -7.617 -0.918 2.022
Cd -5.427 -2.000 0.341
Hg -8.657 -0.200 4.922
Hg -6.859 -4.984 5.228
Cd -8.876 -3.081 3.988
Hg -9.298 -3.430 1.001
Hg -4.573 1.015 -0.090
Cd -6.441 -4.078 2.197
Hg -2.135 -0.538 4.136
Cd -4.991 0.109 2.941
Hg -2.775 -3.769 0.216
Cd -6.006 -1.969 4.797


# 2
80
Lattice="14.637 0.000 0.000 -4.879 13.800 0.000 -4.879 -6.900 11.951" Properties=species:S:1:pos:R:3 comment="Cd12Hg3Sb5 (PBE, optimized geometry)" raw_formation_energy_ev_per_fu=1.2 pbc="T T T"
Cd -2.356 -5.599 11.242
Sb 6.099 -4.312 10.457
Sb 7.318 0.000 0.000
Hg 1.220 6.900 2.988
Cd -2.825 7.692 9.161
Cd -4.003 11.434 1.481
Hg 3.659 7.762 7.469
Cd 2.523 9.086 5.203
Cd 6.443 2.366 1.481
Sb 1.220 4.312 10.457
Cd 7.235 3.487 4.494
Sb -4.879 3.450 5.975
Cd 2.825 1.430 3.894
Sb -2.439 -3.450 5.975
Cd 6.933 7.538 6.684
Cd -2.033 -0.310 9.870
Cd 2.033 -1.957 11.178
Cd 5.265 6.107 9.161
Sb 4.879 6.900 0.000
Cd 2.846 8.857 0.772
Cd -0.386 0.792 2.790
Sb 6.099 3.450 8.963
Hg 10.978 0.000 2.988
Cd 2.033 1.648 10.642
Cd -5.755 3.549 8.765
Sb 0.000 0.000 0.000
Sb -2.439 6.900 0.000
Cd -0.083 4.714 5.203
Sb -1.220 3.450 2.988
Hg 1.220 -0.862 4.482
Sb -3.659 7.762 4.482
Cd 5.286 1.957 11.178
Hg -6.099 6.900 8.963
Cd 10.634 3.350 3.186
Sb -1.220 0.862 7.469
Cd -2.356 3.413 7.457
Hg 6.099 0.862 4.482
Hg 8.538 9.487 1.494
Cd 9.675 -3.413 7.457
Cd 9.841 1.301 0.709
Sb -1.220 11.212 1.494
Sb 1.220 -3.450 8.963
Cd -5.286 0.310 9.870
Cd 10.165 6.590 2.081
Cd 5.755 -0.984 7.284
Cd 0.386 8.330 8.057
Cd 7.235 12.499 0.709
Hg 3.659 0.000 8.963
Cd -0.876 7.884 4.667
Cd -1.564 -3.549 8.765
Sb 8.538 -0.862 7.469
Cd 2.054 5.470 8.057
Sb 2.439 3.450 5.975
Cd 7.704 -0.792 2.790
Hg -3.659 2.587 10.457
Hg 8.538 4.312 1.494
Cd 8.882 -4.534 10.470
Cd -1.564 4.534 10.470
Cd 2.356 -2.186 6.748
Sb 3.659 10.350 2.988
Cd 4.493 -1.430 3.894
Cd 9.372 0.638 5.267
Sb 4.879 -3.450 5.975
Cd 1.564 0.984 7.284
Cd -0.407 4.943 0.772
Cd 5.286 -1.648 10.642
Cd -2.054 -0.638 5.267
Cd 2.846 5.252 1.309
Cd 6.443 10.449 3.186
Cd -4.493 6.262 6.684
Cd -4.796 10.313 4.494
Hg -1.220 6.037 7.469
Cd 6.912 7.209 2.081
Cd -4.962 5.599 11.242
Cd 4.962 2.186 6.748
Cd 3.315 5.916 4.667
Sb 6.099 6.037 4.482
Hg -3.659 -2.587 10.457
Cd -0.407 8.547 1.309
Sb 3.659 2.587 1.494


# 3
4
Lattice="4.674 0.000 0.000 2.337 4.048 0.000 2.337 1.349 6.071" Properties=species:S:1:pos:R:3 comment="CdHgSb2 (PBE, optimized geometry)" raw_formation_energy_ev_per_fu=0.6 pbc="T T T"
Cd 7.011 4.048 5.989
Sb 2.337 1.349 1.484
Sb 2.337 1.349 4.653
Hg 4.674 2.698 3.051


# 4
6
Lattice="-1.714 -1.516 -3.501 0.360 -3.873 1.533 -7.941 3.437 4.882" Properties=species:S:1:pos:R:3 comment="Cd3Hg2Sb (PBE, optimized geometry)" raw_formation_energy_ev_per_fu=0.3 pbc="T T T"
Hg -2.148 0.177 0.966
Cd -4.900 0.410 2.207
Hg -4.980 -2.332 0.956
Cd -8.190 -1.999 2.456
Cd -2.231 -2.573 -0.290
Sb -7.512 0.697 3.442


# 5
12
Lattice="4.772 0.000 0.000 0.000 10.466 0.000 0.000 0.000 6.062" Properties=species:S:1:pos:R:3 comment="Cd4HgSb (PBE, optimized geometry)" raw_formation_energy_ev_per_fu=0.3 pbc="T T T"
Sb 1.989 5.233 5.468
Cd 4.378 7.127 2.294
Cd 4.376 7.158 5.319
Cd 1.990 8.541 0.742
Cd 1.990 1.925 0.742
Hg 1.992 5.233 2.440
Sb 4.375 0.000 0.594
Cd 1.992 8.572 3.767
Cd 1.992 1.894 3.767
Cd 4.376 3.308 5.319
Cd 4.378 3.339 2.294
Hg 4.378 0.000 3.622


# 6
5
Lattice="5.796 0.000 0.000 0.000 5.796 0.000 0.000 0.000 5.796" Properties=species:S:1:pos:R:3 comment="CdHg3Sb (PBE, optimized geometry)" raw_formation_energy_ev_per_fu=1.1 pbc="T T T"
Hg 2.898 0.000 0.000
Cd 2.898 2.898 2.898
Sb 0.000 0.000 0.000
Hg 0.000 2.898 0.000
Hg 0.000 0.000 2.898


# 7
6
Lattice="-4.433 -0.346 -1.953 -2.514 -1.575 3.793 -3.351 6.887 2.710" Properties=species:S:1:pos:R:3 comment="CdHgSb (PBE, optimized geometry)" raw_formation_energy_ev_per_fu=0.1 pbc="T T T"
Sb -8.379 3.949 3.238
Sb -1.966 1.038 1.324
Hg -4.859 1.652 3.330
Cd -6.642 5.414 5.146
Cd -3.704 -0.428 -0.585
Hg -5.485 3.336 1.233


# 8
5
Lattice="-0.297 4.204 0.585 -2.466 -0.648 3.406 4.455 1.607 6.188" Properties=species:S:1:pos:R:3 comment="Cd2Hg2Sb (PBE, optimized geometry)" raw_formation_energy_ev_per_fu=0.6 pbc="T T T"
Cd 1.940 3.418 7.369
Sb 0.000 0.000 0.000
Hg 0.304 1.369 5.795
Hg 1.389 3.794 4.384
Cd -0.248 1.745 2.810


# 9
4
Lattice="-5.477 0.819 0.755 -0.983 -1.773 -5.208 -0.304 -3.041 1.093" Properties=species:S:1:pos:R:3 comment="Cd2HgSb (PBE, optimized geometry)" raw_formation_energy_ev_per_fu=0.3 pbc="T T T"
Sb -0.643 -2.407 -2.058
Cd 0.000 0.000 0.000
Hg -2.890 -1.111 0.924
Cd -3.230 -0.477 -2.226


# 10
4
Lattice="4.240 0.000 0.000 0.000 4.265 0.000 0.000 0.000 6.080" Properties=species:S:1:pos:R:3 comment="Cd2HgSb (PBE, optimized geometry)" raw_formation_energy_ev_per_fu=0.2 pbc="T T T"
Sb 2.120 2.133 5.321
Cd 0.000 0.000 5.318
Hg 0.000 0.000 2.279
Cd 2.120 2.133 2.281


# 11
4
Lattice="4.525 0.000 0.000 2.263 3.919 0.000 2.263 1.306 6.238" Properties=species:S:1:pos:R:3 comment="Cd2HgSb (PBE, optimized geometry)" raw_formation_energy_ev_per_fu=0.1 pbc="T T T"
Cd 2.263 1.306 1.472
Cd 2.263 1.306 4.698
Hg 4.525 2.613 3.207
Sb 6.788 3.919 6.218


# 12
12
Lattice="6.494 0.000 1.423 3.247 6.296 0.712 2.474 0.000 8.329" Properties=species:S:1:pos:R:3 comment="Cd6Hg5Sb (PBE, optimized geometry)" raw_formation_energy_ev_per_fu=0.4 pbc="T T T"
Cd 3.766 3.978 2.500
Hg 6.494 4.709 1.423
Cd 4.055 0.000 3.255
Cd 4.913 0.000 6.497
Hg 7.731 3.820 5.588
Hg 1.237 0.000 4.165
Cd 7.013 2.318 3.211
Sb 0.000 0.000 0.000
Cd 5.203 3.978 7.253
Hg 4.484 2.477 4.876
Cd 8.450 2.318 7.964
Hg 3.247 1.587 0.712


# 13
3
Lattice="6.088 0.010 0.000 3.785 4.769 0.000 -4.936 -2.389 2.643" Properties=species:S:1:pos:R:3 comment="CdHgSb (PBE, optimized geometry)" raw_formation_energy_ev_per_fu=0.5 pbc="T T T"
Hg 3.347 1.620 0.000
Sb 6.563 3.177 0.000
Cd 9.834 4.760 0.000


# 14
10
Lattice="-3.468 -0.994 -2.900 5.692 -0.269 -3.595 0.839 -8.690 1.977" Properties=species:S:1:pos:R:3 comment="Cd3HgSb (PBE, optimized geometry)" raw_formation_energy_ev_per_fu=0.2 pbc="T T T"
Sb -0.001 -7.571 -2.881
Sb 3.063 -2.382 -1.637
Hg 3.035 -7.354 -3.213
Cd 0.485 -6.882 -0.057
Hg 0.028 -2.599 -1.305
Cd 4.593 -4.786 -2.485
Cd 5.003 -9.031 -1.519
Cd -1.531 -5.168 -2.033
Cd -1.940 -0.923 -2.999
Cd 2.578 -3.071 -4.461


# 15
28
Lattice="7.718 0.000 0.000 0.000 10.066 -0.014 0.000 0.111 10.065" Properties=species:S:1:pos:R:3 comment="Cd4HgSb2 (PBE, optimized geometry)" raw_formation_energy_ev_per_fu=0.2 pbc="T T T"
Cd 6.526 6.000 2.336
Sb 0.000 3.589 3.545
Sb 3.859 8.677 8.570
Cd 1.187 0.963 2.683
Cd 5.046 7.783 5.955
Hg 6.935 0.055 5.032
Hg 3.076 0.055 5.032
Cd 2.672 6.051 7.708
Sb 3.859 3.637 6.495
Sb 0.000 6.588 6.507
Sb 3.859 6.539 3.556
Hg 4.643 5.033 -0.007
Hg 0.783 5.033 -0.007
Cd 6.526 4.176 7.715
Cd 2.667 2.789 9.120
Cd 5.052 1.023 7.375
Cd 6.531 2.695 0.930
Cd 5.052 9.153 2.676
Cd 6.531 7.482 9.122
Sb 0.000 1.562 8.596
Cd 2.667 7.387 0.932
Cd 5.046 2.394 4.096
Cd 1.192 2.410 5.971
Cd 1.187 9.213 7.368
Sb 3.859 1.500 1.481
Sb 0.000 8.614 1.455
Cd 1.192 7.766 4.080
Cd 2.672 4.125 2.343


# 16
14
Lattice="7.152 0.200 -2.904 -3.967 6.343 -1.910 0.125 -0.200 7.718" Properties=species:S:1:pos:R:3 comment="Cd8Hg5Sb (PBE, optimized geometry)" raw_formation_energy_ev_per_fu=0.4 pbc="T T T"
Cd 0.309 2.292 0.767
Sb 0.632 4.807 -0.955
Cd 5.298 0.380 -1.334
Cd -2.143 4.397 5.792
Hg 1.030 -0.012 2.620
Cd 3.157 5.618 0.583
Hg 2.365 0.731 6.288
Cd 3.308 3.640 -2.246
Cd 3.364 1.381 1.348
Hg 2.068 3.817 2.827
Cd 0.304 2.220 4.693
Cd -0.356 5.445 2.013
Hg -1.921 3.071 2.904
Hg 5.250 1.606 3.701


# 17
6
Lattice="5.227 -2.271 -2.675 4.350 -2.873 3.530 0.841 -6.221 -0.484" Properties=species:S:1:pos:R:3 comment="CdHgSb4 (PBE, optimized geometry)" raw_formation_energy_ev_per_fu=1.4 pbc="T T T"
Sb 4.317 -7.391 -0.106
Cd 7.814 -8.523 0.278
Hg 0.000 0.000 0.000
Sb 3.892 -4.246 0.139
Sb 6.535 -5.394 -1.214
Sb 6.092 -5.698 1.924


# 18
19
Lattice="-3.656 -6.430 3.243 2.284 0.909 7.694 -6.619 3.573 2.941" Properties=species:S:1:pos:R:3 comment="Cd6Hg12Sb (PBE, optimized geometry)" raw_formation_energy_ev_per_fu=0.6 pbc="T T T"
Hg -2.325 -2.164 2.758
Hg -4.993 -0.875 4.727
Hg -5.708 0.510 7.813
Cd -2.928 -4.063 8.825
Hg -2.283 -2.459 6.065
Hg -2.599 0.926 6.358
Hg -2.974 0.946 2.821
Hg -5.666 0.216 11.120
Hg -5.393 -2.874 7.520
Hg -7.665 -1.795 9.687
Cd -7.723 -1.300 6.452
Sb 0.000 0.000 0.000
Cd -4.476 -3.857 4.553
Hg -0.326 -0.153 4.191
Cd -5.063 2.114 5.053
Hg -5.017 -2.894 11.057
Cd -3.515 1.909 9.325
Hg -2.998 -1.073 9.152
Cd -0.269 -0.649 7.426


# 19
4
Lattice="0.000 3.705 3.705 3.705 0.000 3.705 3.705 3.705 0.000" Properties=species:S:1:pos:R:3 comment="Cd2HgSb (PBE, optimized geometry)" raw_formation_energy_ev_per_fu=0.3 pbc="T T T"
Cd 5.558 5.558 5.558
Hg 3.705 3.705 3.705
Sb 0.000 0.000 0.000
Cd 1.853 1.853 1.853


# 20
4
Lattice="-5.150 2.995 -0.704 -3.146 0.537 5.079 5.365 1.295 -2.350" Properties=species:S:1:pos:R:3 comment="CdHgSb2 (PBE, optimized geometry)" raw_formation_energy_ev_per_fu=0.7 pbc="T T T"
Sb -8.266 3.519 4.359
Sb -4.178 1.779 2.203
Cd -1.966 3.028 -0.434
Hg -0.965 1.799 2.458